No. 1
{"formula": "Sc4Te2AsP", "functional": "PBE", "state": "optimized geometry", "lattice": [[3.945, 0.000, 0.000], [0.000, 7.055, -0.217], [0.000, 2.406, 6.390]], "species": ["As", "Sc", "Sc", "Sc", "Sc", "Te", "Te", "P"], "fractional_positions": [[0.500, 0.500, 0.000], [0.500, 0.708, 0.271], [0.000, 0.711, 0.756], [0.000, 0.289, 0.244], [0.500, 0.292, 0.729], [0.500, 0.000, 0.500], [0.000, 0.000, 0.000], [0.000, 0.500, 0.500]], "dos_ef_per_ev_fu": 3.91, "formation_energy_uncorrected_mev_per_atom": -1352, "total_magnetization_mub_per_cell": 0.000, "volume_a3_per_atom": 22.486, "energy_ev_per_atom": -6.560}

---

No. 2
{"formula": "CaSi3F", "functional": "PBE", "state": "optimized geometry", "lattice": [[4.505, 0.000, 0.000], [0.000, 4.505, 0.000], [0.000, 0.000, 4.505]], "species": ["Ca", "F", "Si", "Si", "Si"], "fractional_positions": [[0.500, 0.500, 0.500], [0.000, 0.000, 0.000], [0.000, 0.500, 0.000], [0.000, 0.000, 0.500], [0.500, 0.000, 0.000]], "dos_ef_per_ev_fu": 2.43, "formation_energy_uncorrected_mev_per_atom": -51, "total_magnetization_mub_per_cell": 0.000, "volume_a3_per_atom": 18.291, "energy_ev_per_atom": -4.079, "de_polymorph_mev_per_atom": 0.0}

---

No. 3
{"formula": "PaBeNb2", "functional": "PBE", "state": "optimized geometry", "lattice": [[3.295, 0.000, 0.000], [0.000, 3.295, 0.000], [0.000, 0.000, 6.723]], "species": ["Nb", "Nb", "Pa", "Be"], "fractional_positions": [[0.000, 0.000, 0.814], [0.000, 0.000, 0.186], [0.500, 0.500, 0.500], [0.500, 0.500, 0.000]], "dos_ef_per_ev_fu": 5.25, "total_magnetization_mub_per_cell": 0.000, "volume_a3_per_atom": 18.245, "energy_ev_per_atom": -8.144, "de_polymorph_mev_per_atom": 0.0, "ef_ev_per_atom": 0.1967}

---

Copy entry 3 word for word.
{"formula": "PaBeNb2", "functional": "PBE", "state": "optimized geometry", "lattice": [[3.295, 0.000, 0.000], [0.000, 3.295, 0.000], [0.000, 0.000, 6.723]], "species": ["Nb", "Nb", "Pa", "Be"], "fractional_positions": [[0.000, 0.000, 0.814], [0.000, 0.000, 0.186], [0.500, 0.500, 0.500], [0.500, 0.500, 0.000]], "dos_ef_per_ev_fu": 5.25, "total_magnetization_mub_per_cell": 0.000, "volume_a3_per_atom": 18.245, "energy_ev_per_atom": -8.144, "de_polymorph_mev_per_atom": 0.0, "ef_ev_per_atom": 0.1967}